Here is a relaxed Zn8CdIn3 crystal from Alexandria. Energies are from PBE.

a = 9.198 Å, b = 9.198 Å, c = 9.198 Å
α = 34.73°, β = 34.73°, γ = 34.73°
Atoms (fractional coordinates):
1 Zn 0.000 0.000 0.000
2 Zn 0.249 0.749 0.749
3 Zn 0.251 0.251 0.751
4 Zn 0.251 0.751 0.251
5 Zn 0.500 0.500 0.500
6 Zn 0.749 0.249 0.749
7 Zn 0.749 0.749 0.249
8 Zn 0.751 0.251 0.251
9 Cd 0.187 0.187 0.187
10 In 0.311 0.311 0.311
11 In 0.688 0.688 0.688
12 In 0.814 0.814 0.814

For the formation energy, the calculation gives 67.2 meV per atom. The symmetry is R3m (160).

Here is a relaxed LaSm5Y2 crystal from Alexandria. Energies are from PBE.

a = 7.268 Å, b = 14.541 Å, c = 5.114 Å
α = 90.00°, β = 90.00°, γ = 90.00°
Atoms (fractional coordinates):
1 La 0.000 0.000 0.000
2 La 0.500 0.500 0.000
3 Sm 0.000 0.500 0.000
4 Sm 0.001 0.252 0.000
5 Sm 0.249 0.626 0.500
6 Sm 0.251 0.126 0.500
7 Sm 0.499 0.752 0.000
8 Sm 0.500 0.000 0.000
9 Sm 0.501 0.248 0.000
10 Sm 0.749 0.874 0.500
11 Sm 0.751 0.374 0.500
12 Sm 0.999 0.748 0.000
13 Y 0.250 0.374 0.500
14 Y 0.250 0.874 0.500
15 Y 0.750 0.126 0.500
16 Y 0.750 0.626 0.500

For the formation energy, the calculation gives 17.5 meV per atom. The value obtained for the energy above the most stable polymorph in this dataset is 0 meV per atom. The symmetry is Pbam (55).

Here is a relaxed PrDy6Tm3Sc2 crystal from Alexandria. Energies are from PBE.

a = 6.052 Å, b = 6.052 Å, c = 11.591 Å
α = 94.97°, β = 94.97°, γ = 119.96°
Atoms (fractional coordinates):
1 Pr 0.000 0.000 0.000
2 Dy 0.084 0.420 0.249
3 Dy 0.253 0.253 0.751
4 Dy 0.420 0.084 0.249
5 Dy 0.580 0.916 0.751
6 Dy 0.747 0.747 0.249
7 Dy 0.916 0.580 0.751
8 Tm 0.167 0.833 0.500
9 Tm 0.500 0.500 0.500
10 Tm 0.833 0.167 0.500
11 Sc 0.333 0.667 0.000
12 Sc 0.667 0.333 0.000

For the formation energy, the calculation gives 38.3 meV per atom. The symmetry is C2/m (12).

Here is a relaxed MgTaW crystal from Alexandria. Energies are from PBE.

a = 7.440 Å, b = 7.440 Å, c = 7.440 Å
α = 158.81°, β = 158.81°, γ = 30.15°
Atoms (fractional coordinates):
1 Mg 0.000 0.000 0.000
2 Ta 0.674 0.674 0.000
3 W 0.338 0.338 0.000

For the formation energy, the calculation gives 389.3 meV per atom. The value obtained for the energy above the most stable polymorph in this dataset is 148 meV per atom. The symmetry is I4mm (107).

Here is a relaxed PmPr4Er3 crystal from Alexandria. Energies are from PBE.

a = 10.295 Å, b = 7.242 Å, c = 7.237 Å
α = 90.00°, β = 90.00°, γ = 90.00°
Atoms (fractional coordinates):
1 Pm 0.000 0.000 0.000
2 Pm 0.500 0.000 0.500
3 Pr 0.000 0.000 0.500
4 Pr 0.000 0.500 0.000
5 Pr 0.250 0.251 0.250
6 Pr 0.250 0.749 0.750
7 Pr 0.500 0.000 0.000
8 Pr 0.500 0.500 0.500
9 Pr 0.750 0.251 0.250
10 Pr 0.750 0.749 0.750
11 Er 0.000 0.500 0.500
12 Er 0.250 0.252 0.750
13 Er 0.250 0.748 0.250
14 Er 0.500 0.500 0.000
15 Er 0.750 0.252 0.750
16 Er 0.750 0.748 0.250

For the formation energy, the calculation gives 18.6 meV per atom. The value obtained for the energy above the most stable polymorph in this dataset is 0 meV per atom. The symmetry is Pmna (53).

Here is a relaxed SnTeIr crystal from Alexandria. Energies are from PBE.

a = 7.369 Å, b = 7.369 Å, c = 5.960 Å
α = 98.78°, β = 98.78°, γ = 31.13°
Atoms (fractional coordinates):
1 Sn 0.111 0.111 0.260
2 Sn 0.889 0.889 0.740
3 Te 0.412 0.412 0.171
4 Te 0.588 0.588 0.829
5 Ir 0.303 0.303 0.463
6 Ir 0.697 0.697 0.537

The uncorrected formation energy comes out at 165 meV per atom. The symmetry is C2/m (12).

Here is a relaxed SrAsO2F crystal from Alexandria. Energies are from PBE.

a = 4.655 Å, b = 4.655 Å, c = 4.412 Å
α = 90.00°, β = 90.00°, γ = 90.00°
Atoms (fractional coordinates):
1 Sr 0.000 0.000 0.000
2 As 0.500 0.500 0.500
3 O 0.000 0.500 0.000
4 O 0.500 0.000 0.000
5 F 0.000 0.000 0.500

The uncorrected formation energy comes out at -609 meV per atom. The symmetry is P4/mmm (123).

Here is a relaxed Tl4GaAu4 crystal from Alexandria. Energies are from PBE.

a = 7.811 Å, b = 7.811 Å, c = 7.811 Å
α = 134.31°, β = 134.31°, γ = 66.61°
Atoms (fractional coordinates):
1 Tl 0.065 0.634 0.000
2 Tl 0.366 0.366 0.431
3 Tl 0.634 0.065 0.000
4 Tl 0.935 0.935 0.569
5 Ga 0.500 0.500 0.000
6 Au 0.144 0.144 0.527
7 Au 0.383 0.856 0.000
8 Au 0.617 0.617 0.473
9 Au 0.856 0.383 0.000

For the formation energy, the calculation gives -3.6 meV per atom. The symmetry is I-42m (121).

Here is a relaxed AlSbH2 crystal from Alexandria. Energies are from PBE.

a = 5.408 Å, b = 5.408 Å, c = 5.408 Å
α = 120.21°, β = 120.21°, γ = 89.63°
Atoms (fractional coordinates):
1 Al 0.000 0.000 0.000
2 Al 0.750 0.250 0.500
3 Sb 0.250 0.750 0.500
4 Sb 0.500 0.500 0.000
5 H 0.375 0.199 0.324
6 H 0.801 0.125 0.176
7 H 0.875 0.051 0.676
8 H 0.949 0.625 0.824

The value obtained for the energy above the most stable polymorph in this dataset is 0 meV per atom. The symmetry is I-42d (122).

Here is a relaxed Mg7Cr crystal from Alexandria. Energies are from PBE.

a = 6.286 Å, b = 6.286 Å, c = 5.084 Å
α = 90.00°, β = 90.00°, γ = 120.00°
Atoms (fractional coordinates):
1 Mg 0.000 0.000 0.000
2 Mg 0.009 0.504 0.000
3 Mg 0.335 0.167 0.500
4 Mg 0.496 0.504 0.000
5 Mg 0.496 0.991 0.000
6 Mg 0.833 0.167 0.500
7 Mg 0.833 0.665 0.500
8 Cr 0.333 0.667 0.500

For the formation energy, the calculation gives 123.9 meV per atom. The value obtained for the energy above the most stable polymorph in this dataset is 0 meV per atom. The symmetry is P-6m2 (187).

Here is a relaxed ZrCu2Ag crystal from Alexandria. Energies are from PBE.

a = 4.744 Å, b = 4.744 Å, c = 5.124 Å
α = 99.37°, β = 99.37°, γ = 35.38°
Atoms (fractional coordinates):
1 Zr 0.000 0.000 0.000
2 Cu 0.247 0.247 0.731
3 Cu 0.753 0.753 0.269
4 Ag 0.500 0.500 0.500

For the formation energy, the calculation gives 107.3 meV per atom. The value obtained for the energy above the most stable polymorph in this dataset is 177 meV per atom. The symmetry is C2/m (12).

Here is a relaxed Tm3B7Rh crystal from Alexandria. Energies are from PBE.

a = 7.961 Å, b = 7.961 Å, c = 9.280 Å
α = 90.00°, β = 90.00°, γ = 154.91°
Atoms (fractional coordinates):
1 Tm 0.107 0.893 0.559
2 Tm 0.107 0.893 0.941
3 Tm 0.247 0.753 0.250
4 Tm 0.753 0.247 0.750
5 Tm 0.893 0.107 0.059
6 Tm 0.893 0.107 0.441
7 B 0.273 0.727 0.533
8 B 0.273 0.727 0.967
9 B 0.367 0.633 0.651
10 B 0.367 0.633 0.849
11 B 0.453 0.547 0.250
12 B 0.481 0.519 0.595
13 B 0.481 0.519 0.905
14 B 0.519 0.481 0.095
15 B 0.519 0.481 0.405
16 B 0.547 0.453 0.750
17 B 0.633 0.367 0.151
18 B 0.633 0.367 0.349
19 B 0.727 0.273 0.033
20 B 0.727 0.273 0.467
21 Rh 0.053 0.947 0.250
22 Rh 0.947 0.053 0.750

For the formation energy, the calculation gives -650.3 meV per atom. The symmetry is Cmcm (63).

Here is a relaxed La2LuI crystal from Alexandria. Energies are from PBE.

a = 3.753 Å, b = 3.753 Å, c = 9.696 Å
α = 90.00°, β = 90.00°, γ = 90.00°
Atoms (fractional coordinates):
1 La 0.000 0.000 0.244
2 La 0.000 0.000 0.756
3 Lu 0.500 0.500 0.500
4 I 0.500 0.500 0.000

The uncorrected formation energy comes out at -377 meV per atom. The value obtained for the energy above the most stable polymorph in this dataset is 0 meV per atom. The symmetry is P4/mmm (123).

Here is a relaxed CoTc2 crystal from Alexandria. Energies are from PBE.

a = 5.031 Å, b = 5.031 Å, c = 6.282 Å
α = 103.21°, β = 103.21°, γ = 30.97°
Atoms (fractional coordinates):
1 Co 0.000 0.000 0.000
2 Co 0.668 0.668 0.336
3 Tc 0.062 0.062 0.608
4 Tc 0.334 0.334 0.668
5 Tc 0.392 0.392 0.274
6 Tc 0.715 0.715 0.956

For the formation energy, the calculation gives 46.9 meV per atom. The value obtained for the energy above the most stable polymorph in this dataset is 34 meV per atom. The symmetry is Cm (8).

Here is a relaxed MnCoSN2 crystal from Alexandria. Energies are from PBE.

a = 3.515 Å, b = 3.515 Å, c = 5.106 Å
α = 90.00°, β = 90.00°, γ = 90.00°
Atoms (fractional coordinates):
1 Mn 0.000 0.000 0.000
2 Co 0.500 0.500 0.500
3 S 0.000 0.000 0.500
4 N 0.000 0.500 0.000
5 N 0.500 0.000 0.000

The uncorrected formation energy comes out at 721 meV per atom. The value obtained for the energy above the most stable polymorph in this dataset is 0 meV per atom. The symmetry is P4/mmm (123).

Here is a relaxed Pm6Mg23 crystal from Alexandria. Energies are from PBE.

a = 10.171 Å, b = 10.171 Å, c = 10.171 Å
α = 60.00°, β = 60.00°, γ = 60.00°
Atoms (fractional coordinates):
1 Pm 0.199 0.199 0.801
2 Pm 0.199 0.801 0.199
3 Pm 0.199 0.801 0.801
4 Pm 0.801 0.199 0.199
5 Pm 0.801 0.199 0.801
6 Pm 0.801 0.801 0.199
7 Mg 0.000 0.000 0.500
8 Mg 0.000 0.500 0.000
9 Mg 0.000 0.500 0.500
10 Mg 0.138 0.621 0.621
11 Mg 0.170 0.170 0.170
12 Mg 0.170 0.170 0.491
13 Mg 0.170 0.491 0.170
14 Mg 0.379 0.379 0.379
15 Mg 0.379 0.379 0.862
16 Mg 0.379 0.862 0.379
17 Mg 0.491 0.170 0.170
18 Mg 0.500 0.000 0.000
19 Mg 0.500 0.000 0.500
20 Mg 0.500 0.500 0.000
21 Mg 0.500 0.500 0.500
22 Mg 0.509 0.830 0.830
23 Mg 0.621 0.138 0.621
24 Mg 0.621 0.621 0.138
25 Mg 0.621 0.621 0.621
26 Mg 0.830 0.509 0.830
27 Mg 0.830 0.830 0.509
28 Mg 0.830 0.830 0.830
29 Mg 0.862 0.379 0.379

For the formation energy, the calculation gives -72.1 meV per atom. The symmetry is Fm-3m (225).

Size of the total moment? In order: 0.000, 0.000, 0.000, 0.000, 0.000, 0.000, 0.000, 0.000, 0.000, 4.485, 0.000, 0.000, 0.000, 0.000, 2.057, 0.000 μB/f.u..
DFT total energy? In order: -1.54, -5.16, -4.83, -8.41, -4.68, -5.17, -4.23, -2.85, -3.33, -2.47, -4.79, -6.79, -4.36, -9.23, -6.69, -2.32 eV/atom.